A plane-wave DFT calculation with PBE was carried out for HfBePb after structural relaxation.

space group: Cmcm, No. 63
density: 11.4 g cm⁻³
total energy: -5.8471 eV per atom
ΔE_f: -5 kJ/mol of atoms
crystal system: orthorhombic

a b c (Å): 3.678 3.925 8.218
angles (deg): 76.18 90.00 90.00
Positions (direct):
Be 0.750 0.468 0.064
Hf 0.750 0.078 0.845
Pb 0.250 0.693 0.614
Be 0.250 0.532 0.936
Pb 0.750 0.307 0.386
Hf 0.250 0.922 0.155